Record 1
Entry from Alexandria: LiCaEr2S4 after structural relaxation (PBE).

Cell: 3.8617 12.8471 13.5231 Å, 90.00 90.00 90.00°
Space group Cmcm (No. 63)
One atom of each set of equivalent atoms:
Li1 0.0000 0.1498 0.2500 (multiplicity 4)
Ca1 0.0000 0.1192 0.7500 (multiplicity 4)
Er1 0.0000 0.3707 0.5579 (multiplicity 8)
S1 0.0000 0.0000 0.0000 (multiplicity 4)
S2 0.0000 0.2726 0.1201 (multiplicity 8)
S3 0.0000 0.4535 0.7500 (multiplicity 4)

Properties
Fermi-level density of states   2.16 states/eV/f.u.
ΔE_f (raw)   -1.901 eV per atom


Record 2
Entry from Alexandria: LiCaErSe3 after structural relaxation (PBE).

Cell: 8.4115 4.0577 8.8295 Å, 90.00 102.61 90.00°
Space group P2_1/m (No. 11)
One atom of each set of equivalent atoms:
Li1 0.0850 0.2500 0.0845 (multiplicity 2)
Ca1 0.1857 0.2500 0.7337 (multiplicity 2)
Er1 0.3311 0.7500 0.3319 (multiplicity 2)
Se1 0.1041 0.2500 0.3702 (multiplicity 2)
Se2 0.2227 0.7500 0.0050 (multiplicity 2)
Se3 0.4306 0.7500 0.6665 (multiplicity 2)

Properties
ΔE_f (raw)   -1.732 eV per atom


Record 3
Entry from Alexandria: LiCa3Er2Se6 after structural relaxation (PBE).

Cell: 7.1151 12.3150 7.1380 Å, 90.00 109.41 90.00°
Space group C2/m (No. 12)
One atom of each set of equivalent atoms:
Li1 0.0000 0.0000 0.0000 (multiplicity 2)
Ca1 0.0000 0.1659 0.5000 (multiplicity 4)
Ca2 0.0000 0.5000 0.5000 (multiplicity 2)
Er1 0.0000 0.3332 0.0000 (multiplicity 4)
Se1 0.2464 0.1667 0.2388 (multiplicity 8)
Se2 0.2460 0.5000 0.2383 (multiplicity 4)

Properties
Fermi-level density of states   3.61 states/eV/f.u.
ΔE_f (raw)   -1.853 eV per atom


Record 4
Entry from Alexandria: LiCaEr2Se4 after structural relaxation (PBE).

Cell: 6.9938 4.0544 7.1155 Å, 90.00 109.18 90.00°
Space group P2/m (No. 10)
One atom of each set of equivalent atoms:
Li1 0.0000 0.0000 0.0000 (multiplicity 1)
Ca1 0.5000 0.5000 0.0000 (multiplicity 1)
Er1 0.0000 0.5000 0.5000 (multiplicity 1)
Er2 0.5000 0.0000 0.5000 (multiplicity 1)
Se1 0.2429 0.0000 0.7459 (multiplicity 2)
Se2 0.2465 0.5000 0.2529 (multiplicity 2)

Properties
Fermi-level density of states   2.36 states/eV/f.u.
ΔE_f (raw)   -1.782 eV per atom


- Which of these has the highest ΔE_f (raw)?
  LiCaErSe3


Copy entry 4 word for word.
Entry from Alexandria: LiCaEr2Se4 after structural relaxation (PBE).

Cell: 6.9938 4.0544 7.1155 Å, 90.00 109.18 90.00°
Space group P2/m (No. 10)
One atom of each set of equivalent atoms:
Li1 0.0000 0.0000 0.0000 (multiplicity 1)
Ca1 0.5000 0.5000 0.0000 (multiplicity 1)
Er1 0.0000 0.5000 0.5000 (multiplicity 1)
Er2 0.5000 0.0000 0.5000 (multiplicity 1)
Se1 0.2429 0.0000 0.7459 (multiplicity 2)
Se2 0.2465 0.5000 0.2529 (multiplicity 2)

Properties
Fermi-level density of states   2.36 states/eV/f.u.
ΔE_f (raw)   -1.782 eV per atom


- Number 2 is which compound?
  LiCaErSe3


- The highest ΔE_f (raw) belongs to which entry?
  LiCaErSe3